# 1
TaO2F2 (PBE, optimized geometry); SG = P4/mmm, No. 123; crystal system = tetragonal; V = 12.40 Å³/atom; M_tot = 1.0 Bohr magnetons per cell; energy above the lowest structure with this stoichiometry = 0 meV per atom
1.0
3.9061 0.0000 0.0000
0.0000 3.9061 0.0000
0.0000 0.0000 4.0634
Ta O F
1 2 2
direct
0.0000 0.0000 0.0000
0.0000 0.5000 0.0000
0.5000 0.0000 0.0000
0.0000 0.0000 0.5000
0.5000 0.5000 0.5000

# 2
LiTl2Cd2 (PBE, optimized geometry); SG = I4/mmm, No. 139; crystal system = tetragonal; V = 28.87 Å³/atom; M_tot = 0.0 Bohr magnetons per cell; energy above the lowest structure with this stoichiometry = 93 meV per atom
1.0
-2.2654 2.2654 7.0314
2.2654 -2.2654 7.0314
2.2654 2.2654 -7.0314
Li Tl Cd
1 2 2
direct
0.0000 0.0000 0.0000
0.2500 0.7500 0.5000
0.7500 0.2500 0.5000
0.4031 0.4031 0.0000
0.5969 0.5969 0.0000